No. 1
Below is a relaxed ZnWF2 crystal, with properties calculated at the PBE+U level.

Geometry as POSCAR:
```
ZnWF2
1.0
-3.2590 3.0734 -2.2793
-3.1584 -3.8508 -0.6766
-5.2718 0.5603 2.7517
Zn W F
2 2 4
Direct
0.5000 0.5000 0.0000 Zn
0.2500 0.7500 0.5000 Zn
0.0000 0.0000 0.0000 W
0.7500 0.2500 0.5000 W
0.5909 0.1250 0.2500 F
0.1591 0.6250 0.2500 F
0.3750 0.4091 0.7500 F
0.8750 0.8409 0.7500 F
```

Summary:
* SG: I-42d
* crystal system: tetragonal

No. 2
Below is a relaxed ZnWF4 crystal, with properties calculated at the PBE+U level.

Geometry as POSCAR:
```
ZnWF4
1.0
4.5674 3.4994 3.7705
-3.1716 1.3888 5.9444
0.7217 -6.0109 -3.2667
Zn W F
2 2 8
Direct
0.7500 0.7500 0.0000 Zn
0.2500 0.2500 0.0000 Zn
0.5000 0.0000 0.5000 W
0.0000 0.5000 0.5000 W
0.5470 0.0470 0.8511 F
0.8041 0.3041 0.8511 F
0.4530 0.9530 0.1489 F
0.9530 0.8041 0.5000 F
0.1959 0.6959 0.1489 F
0.6959 0.5470 0.5000 F
0.0470 0.1959 0.5000 F
0.3041 0.4530 0.5000 F
```

Summary:
* SG: I4/mcm
* crystal system: tetragonal

no.,energy relative to the lowest polymorph listed for this composition (eV/f.u.)
1,2.875
2,1.812